Entry 1:
A relaxed BaYSbI2 crystal. Source: Alexandria via LeMat-Bulk, functional PBE.

Output
Magnetic moment ... 0.00 μB per formula unit

abc: 5.935 5.935 6.043
angles: 90.00 90.00 90.00
Space group P4/mmm (No. 123)
Inequivalent atoms, fractional coordinates:
Ba1 0.000 0.000 0.000
Y1 0.500 0.500 0.500
Sb1 0.500 0.500 0.000
I1 0.000 0.500 0.500

Entry 2:
A relaxed BaYSbI2 crystal. Source: Alexandria via LeMat-Bulk, functional PBE.

Output
Magnetic moment ... 0.30 μB per formula unit

abc: 6.296 6.296 6.688
angles: 90.00 90.00 90.00
Space group P4/mmm (No. 123)
Inequivalent atoms, fractional coordinates:
Ba1 0.000 0.000 0.000
Y1 0.500 0.500 0.500
Sb1 0.000 0.000 0.500
I1 0.000 0.500 0.000

Entry 3:
A relaxed BaZnSb2I crystal. Source: Alexandria via LeMat-Bulk, functional PBE.

Output
Magnetic moment ... 5.05 μB per formula unit

abc: 7.163 7.163 6.677
angles: 90.00 90.00 90.00
Space group P4/mmm (No. 123)
Inequivalent atoms, fractional coordinates:
Ba1 0.000 0.000 0.000
Zn1 0.500 0.500 0.500
Sb1 0.000 0.500 0.000
I1 0.000 0.000 0.500

Entry 4:
A relaxed BaZnSb2I crystal. Source: Alexandria via LeMat-Bulk, functional PBE.

Output
Magnetic moment ... 0.00 μB per formula unit

abc: 5.220 5.220 6.486
angles: 90.00 90.00 90.00
Space group P4/mmm (No. 123)
Inequivalent atoms, fractional coordinates:
Ba1 0.000 0.000 0.000
Zn1 0.500 0.500 0.500
Sb1 0.000 0.500 0.500
I1 0.500 0.500 0.000

Entry 5:
A relaxed BaZrSb2I crystal. Source: Alexandria via LeMat-Bulk, functional PBE.

Output
Magnetic moment ... 0.00 μB per formula unit

abc: 6.176 6.176 6.161
angles: 90.00 90.00 90.00
Space group P4/mmm (No. 123)
Inequivalent atoms, fractional coordinates:
Ba1 0.000 0.000 0.000
Zr1 0.500 0.500 0.500
Sb1 0.000 0.500 0.000
I1 0.000 0.000 0.500

Entry 6:
A relaxed BaZrSb2I crystal. Source: Alexandria via LeMat-Bulk, functional PBE.

Output
Magnetic moment ... 0.00 μB per formula unit

abc: 5.590 5.590 5.931
angles: 90.00 90.00 90.00
Space group P4/mmm (No. 123)
Inequivalent atoms, fractional coordinates:
Ba1 0.000 0.000 0.000
Zr1 0.500 0.500 0.500
Sb1 0.000 0.500 0.500
I1 0.500 0.500 0.000

Number 1: E_form (uncorrected) -1032.2 meV/atom, polymorph energy (0 for the lowest one) 0 meV per atom. Number 2: E_form (uncorrected) -90.3 meV/atom, polymorph energy (0 for the lowest one) 942 meV per atom. Number 3: E_form (uncorrected) 443.5 meV/atom, polymorph energy (0 for the lowest one) 812 meV per atom. Number 4: E_form (uncorrected) -368.7 meV/atom, polymorph energy (0 for the lowest one) 0 meV per atom. Number 5: E_form (uncorrected) 1022.2 meV/atom, polymorph energy (0 for the lowest one) 1672 meV per atom. Number 6: E_form (uncorrected) -650.3 meV/atom, polymorph energy (0 for the lowest one) 0 meV per atom.